Entry 1:
The following is a DFT calculation (PBE-GGA) of crystalline Rb3Ag2Cl6 at its relaxed geometry.

Calculated density, Mg/m³: 3.32
Electronic total energy, Ry/atom: -0.2255

Cell: 5.029 5.029 27.125 Å, 90.00 90.00 90.00°
Space group I4/mmm (No. 139)
Asymmetric unit:
Rb (0.000, 0.000, 0.000) x2
Rb (0.000, 0.000, 0.183) x4
Ag (0.000, 0.000, 0.401) x4
Cl (0.000, 0.000, 0.303) x4
Cl (0.000, 0.500, 0.082) x8

=====

Entry 2:
The following is a DFT calculation (PBE-GGA) of crystalline Y3Ho2Lu2Ni2Te2 at its relaxed geometry.

Calculated density, Mg/m³: 7.68
Electronic total energy, Ry/atom: -0.4187

Cell: 3.859 15.556 9.507 Å, 90.00 90.00 90.00°
Space group Imm2 (No. 44)
Asymmetric unit:
Y (0.000, 0.000, 0.000) x2
Y (0.000, 0.353, 0.266) x4
Ho (0.000, 0.133, 0.415) x4
Lu (0.000, 0.315, 0.619) x4
Ni (0.000, 0.239, 0.931) x4
Te (0.000, 0.000, 0.661) x2
Te (0.000, 0.500, 0.764) x2

=====

Entry 3:
The following is a DFT calculation (PBE-GGA) of crystalline ErCuGeSe3 at its relaxed geometry.

Calculated density, Mg/m³: 6.70
Offset from the most stable computed form, eV per atom: 0.000
Electronic total energy, Ry/atom: -0.3464

Cell: 3.895 13.158 10.454 Å, 90.00 90.00 90.00°
Space group Cmcm (No. 63)
Asymmetric unit:
Er (0.000, 0.000, 0.000) x4
Cu (0.000, 0.473, 0.250) x4
Ge (0.000, 0.221, 0.750) x4
Se (0.000, 0.091, 0.250) x4
Se (0.000, 0.353, 0.071) x8